Density functional theory data (GGA+U) for a relaxed V2O3 crystal.

As for the total energy: -7.935 eV per atom. The space group is P2_1/c, No. 14.

Cell lengths 3.7791, 12.0277, 5.4687 Å; angles 90.00, 108.06, 90.00 degrees
Fractional coordinates of all 20 atoms:
V  0.1110  0.1589  0.1724
V  0.1110  0.3411  0.6724
V  0.3417  0.0502  0.7118
V  0.3417  0.4498  0.2118
V  0.6583  0.5502  0.7882
V  0.6583  0.9498  0.2882
V  0.8890  0.6589  0.3276
V  0.8890  0.8411  0.8276
O  0.1742  0.5057  0.8200
O  0.1742  0.9943  0.3200
O  0.1815  0.1941  0.5422
O  0.1815  0.3059  0.0422
O  0.4293  0.6078  0.4115
O  0.4293  0.8922  0.9115
O  0.5707  0.1078  0.0885
O  0.5707  0.3922  0.5885
O  0.8185  0.6941  0.9578
O  0.8185  0.8059  0.4578
O  0.8258  0.0057  0.6800
O  0.8258  0.4943  0.1800